A geometry-optimized Li2AlFeF6 structure, computed with PBE with a Hubbard U.

Magnetic moment: 3.00 μB per cell
Energy: -52.03 eV per cell

Lattice parameters (Å, degrees): 5.1055 5.1775 5.5548 62.26 89.86 60.73
Positions (direct):
1 Li 0.0000 0.0000 0.0000
2 Li 0.4907 0.0211 0.4656
3 Al 0.7006 0.6030 0.0849
4 Fe 0.2024 0.5835 0.6102
5 F 0.0650 0.1714 0.2910
6 F 0.3312 0.0281 0.8463
7 F 0.4712 0.4612 0.2961
8 F 0.6409 0.4738 0.8416
9 F 0.7697 0.7662 0.2921
10 F 0.8944 0.7863 0.8455